Material: Be2MoPb
Method: DFT, GGA-PBE
State: optimized geometry

Cell: 3.2566 3.2776 5.6973 Å, 90.00 90.00 90.00°
With the nearest neighbours (Å) after each atom.
Space group Pmmm (No. 47)
Asymmetric unit:
Be 0.0000 0.0000 0.1763  1 Be 2.01
Mo 0.5000 0.5000 0.0000  8 Be 2.52
Pb 0.5000 0.5000 0.5000  2 Mo 2.85, 8 Be 2.96

Computed properties:
* uncorrected energy: -20.37 eV/cell
* energy of formation: 0.404 eV per atom